(1)
A plane-wave DFT calculation with GGA-PBE was carried out for a relaxed structure of Ba5Ca3.

a = 11.5242 Å, b = 11.5242 Å, c = 11.6018 Å
α = 96.15°, β = 96.15°, γ = 141.65°
With the nearest neighbours (Å) after each atom.
Atoms (fractional coordinates):
Ca 0.1725 0.6733 0.8460  10 Ba 3.96-4.36
Ca 0.3267 0.1729 0.5000  10 Ba 3.94-4.36
Ba 0.2256 0.9232 0.1493  6 Ca 3.96-4.35, 1 Ba 4.30
Ca 0.7498 0.7498 0.0000  2 Ca 3.79, 8 Ba 4.13-4.15
Ca 0.8265 0.3272 0.1540  10 Ba 3.96-4.36
Ba 0.4228 0.7256 0.1489  6 Ca 3.96-4.36, 1 Ba 4.30
Ba 0.7739 0.0768 0.8511  6 Ca 3.96-4.36, 1 Ba 4.30
Ba 0.5763 0.2739 0.8507  6 Ca 3.96-4.35, 1 Ba 4.30
Ba 0.7497 0.2501 0.5000  2 Ba 3.78-3.79, 2 Ca 4.21
Ca 0.2498 0.2498 0.0000  2 Ca 3.79, 8 Ba 4.13-4.15
Ba 0.9224 0.7743 0.6971  6 Ca 3.94-4.36, 1 Ba 4.32
Ba 0.0766 0.2257 0.3027  6 Ca 3.94-4.36, 1 Ba 4.33
Ba 0.7252 0.5772 0.3029  6 Ca 3.94-4.36, 1 Ba 4.32
Ba 0.2739 0.4230 0.6973  6 Ca 3.94-4.36, 1 Ba 4.33
Ca 0.6724 0.8272 0.5000  10 Ba 3.94-4.36
Ba 0.2494 0.7499 0.5000  2 Ba 3.78-3.79, 2 Ca 4.21

Properties
The value obtained for the total energy is -30.070 eV for the cell shown. The calculation puts the polymorph energy (0 for the lowest one) at 0.043 eV/atom. The value obtained for the formation energy is 0.0729 eV/atom. The value obtained for the calculated volume is 56.48 Å³/atom. Its space-group type is Fmm2, No. 42. The total moment comes out at 0.003 μB per cell.

(2)
A plane-wave DFT calculation with GGA-PBE was carried out for a relaxed structure of BaSi.

a = 4.1461 Å, b = 5.0460 Å, c = 6.6012 Å
α = 112.47°, β = 90.00°, γ = 90.00°
With the nearest neighbours (Å) after each atom.
Atoms (fractional coordinates):
Ba 0.2500 0.3603 0.7205  7 Si 3.42-3.70
Ba 0.7500 0.6397 0.2795  7 Si 3.42-3.70
Si 0.7500 0.9428 0.8853  2 Si 2.50
Si 0.2500 0.0572 0.1147  2 Si 2.50

Properties
The value obtained for the total energy is -16.385 eV for the cell shown. The value obtained for the calculated volume is 31.90 Å³/atom. The raw formation energy is -0.423 eV/atom. Its space-group type is Cmcm, No. 63. The total moment comes out at 0.000 μB per cell.

(3)
A plane-wave DFT calculation with GGA-PBE was carried out for a relaxed structure of La3DyAl8.

a = 5.7007 Å, b = 5.7007 Å, c = 9.8979 Å
α = 73.26°, β = 73.26°, γ = 60.00°
With the nearest neighbours (Å) after each atom.
Atoms (fractional coordinates):
Al 0.9384 0.9384 0.6830  6 Al 2.83-2.90
Al 0.6870 0.6870 0.9389  6 Al 2.88-2.90
La 0.4996 0.4996 0.5012  12 Al 3.32-3.35, 3 Dy 3.50, 1 La 3.50
Al 0.4402 0.9384 0.6830  6 Al 2.83-2.90
La 0.3746 0.3746 0.8761  12 Al 3.34-3.38, 4 La 3.48-3.50
Dy 0.8751 0.8751 0.3748  12 Al 3.31-3.34, 4 La 3.50-3.52
Al 0.9384 0.4402 0.6830  6 Al 2.83-2.90
Al 0.9349 0.4366 0.1919  6 Al 2.82-2.88
Al 0.1879 0.1879 0.4364  6 Al 2.82-2.83
Al 0.4366 0.4366 0.1919  6 Al 2.82-2.88
La 0.0007 0.0007 0.9979  12 Al 3.34-3.38, 3 La 3.48, 1 Dy 3.52
Al 0.4366 0.9349 0.1919  6 Al 2.82-2.88

Properties
The value obtained for the total energy is -55.271 eV for the cell shown. The calculation puts the polymorph energy (0 for the lowest one) at 0.000 eV/atom. The value obtained for the formation energy is -0.4955 eV/atom. The value obtained for the calculated volume is 21.89 Å³/atom. Its space-group type is R3m, No. 160. The total moment comes out at 0.000 μB per cell.

(4)
A plane-wave DFT calculation with GGA-PBE was carried out for a relaxed structure of ThGePt4.

a = 5.7041 Å, b = 4.8979 Å, c = 9.0862 Å
α = 109.10°, β = 108.34°, γ = 89.95°
With the nearest neighbours (Å) after each atom.
Atoms (fractional coordinates):
Ge 0.0000 0.5000 0.5000  6 Pt 2.53-2.57
Pt 0.6857 0.5270 0.6494  2 Ge 2.54-2.55, 1 Pt 2.80
Pt 0.4313 0.8653 0.1895  1 Ge 2.58
Pt 0.7571 0.3659 0.1907  1 Ge 2.57
Th 0.7859 0.7506 0.0010  8 Pt 2.88-2.98
Pt 0.0384 0.9742 0.3522  2 Ge 2.53, 1 Pt 2.79
Pt 0.9616 0.0258 0.6478  2 Ge 2.53, 1 Pt 2.79
Pt 0.2429 0.6341 0.8093  1 Ge 2.57
Pt 0.5687 0.1347 0.8105  1 Ge 2.58
Th 0.2141 0.2494 0.9990  8 Pt 2.88-2.98
Ge 0.5000 0.0000 0.5000  6 Pt 2.53-2.58
Pt 0.3143 0.4730 0.3506  2 Ge 2.54-2.55, 1 Pt 2.80

Properties
The value obtained for the total energy is -80.053 eV for the cell shown. The calculation puts the polymorph energy (0 for the lowest one) at 0.096 eV/atom. The value obtained for the formation energy is -0.6377 eV/atom. The value obtained for the calculated volume is 18.85 Å³/atom. Its space-group type is P-1, No. 2. The total moment comes out at 0.000 μB per cell.

(5)
A plane-wave DFT calculation with GGA-PBE was carried out for a relaxed structure of MnInPd5.

a = 7.2910 Å, b = 5.1796 Å, c = 5.6662 Å
α = 117.20°, β = 130.04°, γ = 90.00°
With the nearest neighbours (Å) after each atom.
Atoms (fractional coordinates):
Pd 0.7289 0.8137 0.6274  4 Pd 2.59-2.77, 1 Mn 2.65
Mn 0.5980 0.0000 0.0000  6 Pd 2.59-2.71
Pd 0.1014 0.1863 0.3726  4 Pd 2.59-2.77, 1 Mn 2.65
Pd 0.2692 0.7564 0.0000  5 Pd 2.52-2.81, 1 In 2.64, 1 Mn 2.71
Pd 0.2692 0.2436 0.0000  5 Pd 2.52-2.81, 1 In 2.64, 1 Mn 2.71
In 0.9556 0.5000 0.0000  3 Pd 2.53-2.64
Pd 0.6085 0.5000 0.0000  1 In 2.53, 2 Mn 2.59, 4 Pd 2.60-2.81

Properties
The value obtained for the total energy is -37.175 eV for the cell shown. The calculation puts the polymorph energy (0 for the lowest one) at 0.346 eV/atom. The value obtained for the formation energy is 0.0995 eV/atom. The value obtained for the calculated volume is 18.77 Å³/atom. Its space-group type is Imm2, No. 44. The total moment comes out at 4.768 μB per cell.

(6)
A plane-wave DFT calculation with GGA-PBE was carried out for a relaxed structure of Be2TcAu.

a = 4.0607 Å, b = 4.0607 Å, c = 4.0607 Å
α = 60.00°, β = 60.00°, γ = 60.00°
With the nearest neighbours (Å) after each atom.
Atoms (fractional coordinates):
Be 0.2500 0.2500 0.2500  4 Tc 2.49, 4 Au 2.49
Tc 0.0000 0.0000 0.0000  8 Be 2.49
Au 0.5000 0.5000 0.5000  8 Be 2.49
Be 0.7500 0.7500 0.7500  4 Au 2.49, 4 Tc 2.49

Properties
The value obtained for the total energy is -21.340 eV for the cell shown. The calculation puts the polymorph energy (0 for the lowest one) at 0.049 eV/atom. The value obtained for the formation energy is -0.0612 eV/atom. The value obtained for the calculated volume is 11.84 Å³/atom. Its space-group type is Fm-3m, No. 225. The total moment comes out at 0.000 μB per cell.

(7)
A plane-wave DFT calculation with GGA-PBE was carried out for a relaxed structure of LiZnCl.

a = 3.8392 Å, b = 3.8392 Å, c = 6.3028 Å
α = 90.00°, β = 90.00°, γ = 120.00°
With the nearest neighbours (Å) after each atom.
Atoms (fractional coordinates):
Zn 0.6667 0.3333 0.6510  3 Li 3.51, 3 Cl 3.74, 6 Zn 3.84
Cl 0.0000 0.0000 0.1289  3 Li 2.29
Li 0.3333 0.6667 0.2201  3 Cl 2.29

Properties
The value obtained for the total energy is -7.493 eV for the cell shown. The calculation puts the polymorph energy (0 for the lowest one) at 0.004 eV/atom. The value obtained for the calculated volume is 26.82 Å³/atom. The raw formation energy is -0.820 eV/atom. Its space-group type is P3m1, No. 156. The total moment comes out at 0.000 μB per cell.

(8)
A plane-wave DFT calculation with GGA-PBE was carried out for a relaxed structure of NdN2F4.

a = 4.4149 Å, b = 3.8251 Å, c = 8.7285 Å
α = 118.71°, β = 104.65°, γ = 90.00°
With the nearest neighbours (Å) after each atom.
Atoms (fractional coordinates):
F 0.5778 0.2205 0.1556  1 N 1.84
F 0.4222 0.7795 0.8444  1 N 1.84
F 0.0904 0.7045 0.1808  2 Nd 2.31-2.35
N 0.6967 0.6339 0.3934  1 F 1.84
Nd 0.0000 0.0000 0.0000  8 F 2.31-2.49
F 0.9096 0.2955 0.8192  2 Nd 2.31-2.35
N 0.3033 0.3661 0.6066  1 F 1.84

Properties
The value obtained for the total energy is -35.218 eV for the cell shown. The value obtained for the calculated volume is 17.68 Å³/atom. The raw formation energy is -0.902 eV/atom. Its space-group type is C2/m, No. 12. The total moment comes out at 5.000 μB per cell.